# 1
This record from OQMD via LeMat-Bulk describes a geometry-optimized GdHoNi2B2C2 structure. The functional is PBE.

Cell and atoms, written as POSCAR:
```
GdHoNi2B2C2
1.0
3.601 0.000 0.000
0.000 3.601 0.000
0.000 0.000 7.537
Gd Ho Ni B C
1 1 2 2 2
Direct
0.000 0.000 0.000
0.500 0.500 0.666
0.000 0.500 0.333
0.500 0.000 0.333
0.000 0.000 0.477
0.500 0.500 0.187
0.000 0.000 0.675
0.500 0.500 0.988
```

Output
Magnetic moment (μB/cell): 0.0
Space-group type: P4mm
E (eV per cell): -56.273
Calculated density (g/cm3): 8.2



# 2
This record from OQMD via LeMat-Bulk describes a geometry-optimized Gd2HoNi2B2C3 structure. The functional is PBE.

Cell and atoms, written as POSCAR:
```
Gd2HoNi2B2C3
1.0
-1.803 1.803 10.166
1.803 -1.803 10.166
1.803 1.803 -10.166
Gd Ho Ni B C
2 1 2 2 3
Direct
0.124 0.124 0.000
0.876 0.876 0.000
0.500 0.500 0.000
0.250 0.750 0.500
0.750 0.250 0.500
0.303 0.303 0.000
0.697 0.697 0.000
0.000 0.000 0.000
0.376 0.376 0.000
0.624 0.624 0.000
```

Output
Magnetic moment (μB/cell): 0.0
Space-group type: I4/mmm
E (eV per cell): -70.075
Calculated density (g/cm3): 8.2



# 3
This record from OQMD via LeMat-Bulk describes a geometry-optimized Gd4BC2I3 structure. The functional is PBE.

Cell and atoms, written as POSCAR:
```
Gd4BC2I3
1.0
10.614 0.000 0.000
0.000 3.777 0.000
-3.161 0.000 12.240
Gd B C I
8 2 4 6
Direct
0.047 0.250 0.195
0.114 0.750 0.459
0.189 0.250 0.728
0.224 0.750 0.001
0.776 0.250 0.999
0.811 0.750 0.272
0.886 0.250 0.541
0.953 0.750 0.805
0.028 0.250 0.976
0.972 0.750 0.024
0.039 0.750 0.632
0.108 0.250 0.888
0.892 0.750 0.112
0.961 0.250 0.368
0.289 0.750 0.262
0.352 0.250 0.550
0.427 0.750 0.857
0.573 0.250 0.143
0.648 0.750 0.450
0.711 0.250 0.738
```

Output
Magnetic moment (μB/cell): 0.0
Space-group type: P2_1/m
E (eV per cell): -113.889
Calculated density (g/cm3): 7.1



# 4
This record from OQMD via LeMat-Bulk describes a geometry-optimized SmGdB2Ir2C2 structure. The functional is PBE.

Cell and atoms, written as POSCAR:
```
SmGdB2Ir2C2
1.0
3.770 0.000 0.000
0.000 3.770 0.000
0.000 0.000 7.841
Sm Gd B Ir C
1 1 2 2 2
Direct
0.000 0.000 0.000
0.500 0.500 0.673
0.000 0.000 0.492
0.500 0.500 0.179
0.000 0.500 0.336
0.500 0.000 0.336
0.000 0.000 0.685
0.500 0.500 0.985
```

Output
Magnetic moment (μB/cell): 0.0
Space-group type: P4mm
E (eV per cell): -62.563
Calculated density (g/cm3): 11.0



# 5
This record from OQMD via LeMat-Bulk describes a geometry-optimized SmGdNi2B2C2 structure. The functional is PBE.

Cell and atoms, written as POSCAR:
```
SmGdNi2B2C2
1.0
3.658 0.000 0.000
0.000 3.658 0.000
0.000 0.000 7.558
Sm Gd Ni B C
1 1 2 2 2
Direct
0.000 0.000 0.000
0.500 0.500 0.339
0.000 0.500 0.669
0.500 0.000 0.669
0.000 0.000 0.529
0.500 0.500 0.812
0.000 0.000 0.331
0.500 0.500 0.010
```

Output
Magnetic moment (μB/cell): 0.0
Space-group type: P4mm
E (eV per cell): -56.019
Calculated density (g/cm3): 7.7



# 6
This record from OQMD via LeMat-Bulk describes a geometry-optimized TbGdNi2B2C2 structure. The functional is PBE.

Cell and atoms, written as POSCAR:
```
TbGdNi2B2C2
1.0
3.620 0.000 0.000
0.000 3.620 0.000
0.000 0.000 7.543
Tb Gd Ni B C
1 1 2 2 2
Direct
0.000 0.000 0.000
0.500 0.500 0.336
0.000 0.500 0.668
0.500 0.000 0.668
0.000 0.000 0.523
0.500 0.500 0.811
0.000 0.000 0.325
0.500 0.500 0.010
```

Output
Magnetic moment (μB/cell): 0.0
Space-group type: P4mm
E (eV per cell): -56.232
Calculated density (g/cm3): 8.1



# 7
This record from OQMD via LeMat-Bulk describes a geometry-optimized TbGd2Ni2B2C3 structure. The functional is PBE.

Cell and atoms, written as POSCAR:
```
TbGd2Ni2B2C3
1.0
-1.809 1.809 10.206
1.809 -1.809 10.206
1.809 1.809 -10.206
Tb Gd Ni B C
1 2 2 2 3
Direct
0.000 0.000 0.000
0.376 0.376 0.000
0.624 0.624 0.000
0.250 0.750 0.500
0.750 0.250 0.500
0.197 0.197 0.000
0.803 0.803 0.000
0.124 0.124 0.000
0.500 0.500 0.000
0.876 0.876 0.000
```

Output
Magnetic moment (μB/cell): 0.0
Space-group type: I4/mmm
E (eV per cell): -70.003
Calculated density (g/cm3): 8.1



# 8
This record from OQMD via LeMat-Bulk describes a geometry-optimized Gd2YNi2B2C3 structure. The functional is PBE.

Cell and atoms, written as POSCAR:
```
Gd2YNi2B2C3
1.0
-1.807 1.807 10.197
1.807 -1.807 10.197
1.807 1.807 -10.197
Gd Y Ni B C
2 1 2 2 3
Direct
0.124 0.124 0.000
0.876 0.876 0.000
0.500 0.500 0.000
0.250 0.750 0.500
0.750 0.250 0.500
0.303 0.303 0.000
0.697 0.697 0.000
0.000 0.000 0.000
0.376 0.376 0.000
0.624 0.624 0.000
```

Output
Magnetic moment (μB/cell): 0.0
Space-group type: I4/mmm
E (eV per cell): -71.906
Calculated density (g/cm3): 7.2



# 9
This record from OQMD via LeMat-Bulk describes a geometry-optimized GdYB3C2 structure. The functional is PBE.

Cell and atoms, written as POSCAR:
```
GdYB3C2
1.0
3.684 0.000 0.000
0.000 3.402 0.000
0.000 0.000 13.714
Gd Y B C
2 2 6 4
Direct
0.000 0.000 0.000
0.000 0.500 0.500
0.000 0.000 0.729
0.000 0.500 0.229
0.500 0.000 0.147
0.500 0.000 0.365
0.500 0.000 0.582
0.500 0.500 0.082
0.500 0.500 0.647
0.500 0.500 0.865
0.500 0.000 0.260
0.500 0.000 0.470
0.500 0.500 0.760
0.500 0.500 0.970
```

Output
Magnetic moment (μB/cell): 0.0
Space-group type: Amm2
E (eV per cell): -106.108
Calculated density (g/cm3): 5.8



# 10
This record from OQMD via LeMat-Bulk describes a geometry-optimized Pr2B5H7C4O14 structure. The functional is PBE.

Cell and atoms, written as POSCAR:
```
Pr2B5H7C4O14
1.0
5.391 -9.839 0.000
5.391 9.839 0.000
-0.077 0.000 6.374
Pr B H C O
4 10 14 8 28
Direct
0.068 0.932 0.500
0.477 0.993 0.666
0.932 0.068 0.000
0.993 0.477 0.166
0.056 0.531 0.705
0.069 0.877 0.049
0.171 0.785 0.804
0.231 0.707 0.464
0.274 0.856 0.155
0.531 0.056 0.205
0.707 0.231 0.964
0.785 0.171 0.304
0.856 0.274 0.655
0.877 0.069 0.549
0.244 0.386 0.588
0.331 0.513 0.385
0.373 0.382 0.436
0.378 0.661 0.027
0.378 0.692 0.644
0.382 0.373 0.936
0.386 0.244 0.088
0.448 0.599 0.832
0.494 0.604 0.102
0.513 0.331 0.885
0.599 0.448 0.332
0.604 0.494 0.602
0.661 0.378 0.527
0.692 0.378 0.144
0.174 0.299 0.284
0.289 0.404 0.430
0.299 0.174 0.784
0.404 0.289 0.930
0.471 0.658 0.981
0.597 0.806 0.954
0.658 0.471 0.481
0.806 0.597 0.454
0.077 0.838 0.846
0.091 0.633 0.853
0.114 0.340 0.154
0.123 0.558 0.517
0.135 0.170 0.289
0.170 0.135 0.789
0.173 0.899 0.192
0.205 0.808 0.581
0.218 0.714 0.241
0.300 0.859 0.931
0.340 0.114 0.654
0.376 0.744 0.523
0.401 0.957 0.275
0.558 0.123 0.017
0.588 0.891 0.830
0.633 0.091 0.353
0.709 0.842 0.054
0.714 0.218 0.741
0.744 0.376 0.023
0.808 0.205 0.081
0.838 0.077 0.346
0.842 0.709 0.554
0.859 0.300 0.431
0.891 0.588 0.330
0.899 0.173 0.692
0.899 0.971 0.625
0.957 0.401 0.775
0.971 0.899 0.125
```

Output
Magnetic moment (μB/cell): 0.0
Space-group type: Cc
E (eV per cell): -461.617
Calculated density (g/cm3): 3.0



# 11
This record from OQMD via LeMat-Bulk describes a geometry-optimized PrB3H18C2S structure. The functional is PBE.

Cell and atoms, written as POSCAR:
```
PrB3H18C2S
1.0
5.655 0.000 0.000
0.000 22.566 0.000
-1.584 0.000 8.086
Pr B H C S
4 12 72 8 4
Direct
0.183 0.161 0.122
0.183 0.339 0.622
0.817 0.661 0.378
0.817 0.839 0.878
0.181 0.243 0.388
0.181 0.257 0.888
0.306 0.074 0.324
0.306 0.426 0.824
0.336 0.663 0.439
0.336 0.837 0.939
0.664 0.163 0.061
0.664 0.337 0.561
0.694 0.574 0.176
0.694 0.926 0.676
0.819 0.743 0.112
0.819 0.757 0.612
0.001 0.717 0.185
0.001 0.783 0.685
0.003 0.135 0.612
0.003 0.365 0.112
0.125 0.100 0.353
0.125 0.400 0.853
0.142 0.502 0.197
0.142 0.998 0.697
0.157 0.205 0.849
0.157 0.295 0.349
0.196 0.234 0.536
0.196 0.266 0.036
0.214 0.628 0.347
0.214 0.872 0.847
0.219 0.577 0.932
0.219 0.923 0.432
0.222 0.690 0.529
0.222 0.810 0.029
0.255 0.058 0.176
0.255 0.442 0.676
0.277 0.641 0.818
0.277 0.859 0.318
0.309 0.006 0.903
0.309 0.494 0.403
0.354 0.058 0.747
0.354 0.442 0.247
0.365 0.032 0.415
0.365 0.468 0.915
0.369 0.225 0.350
0.369 0.275 0.850
0.414 0.701 0.354
0.414 0.799 0.854
0.467 0.112 0.333
0.467 0.388 0.833
0.497 0.636 0.530
0.497 0.864 0.030
0.503 0.136 0.970
0.503 0.364 0.470
0.533 0.612 0.167
0.533 0.888 0.667
0.586 0.201 0.146
0.586 0.299 0.646
0.631 0.725 0.150
0.631 0.775 0.650
0.635 0.532 0.085
0.635 0.968 0.585
0.646 0.558 0.753
0.646 0.942 0.253
0.691 0.506 0.597
0.691 0.994 0.097
0.723 0.141 0.682
0.723 0.359 0.182
0.745 0.558 0.324
0.745 0.942 0.824
0.778 0.190 0.971
0.778 0.310 0.471
0.781 0.077 0.568
0.781 0.423 0.068
0.786 0.128 0.153
0.786 0.372 0.653
0.804 0.734 0.964
0.804 0.766 0.464
0.843 0.705 0.651
0.843 0.795 0.151
0.858 0.002 0.303
0.858 0.498 0.803
0.875 0.600 0.147
0.875 0.900 0.647
0.997 0.635 0.888
0.997 0.865 0.388
0.999 0.217 0.315
0.999 0.283 0.815
0.137 0.610 0.842
0.137 0.890 0.342
0.222 0.030 0.792
0.222 0.470 0.292
0.778 0.530 0.708
0.778 0.970 0.208
0.863 0.110 0.658
0.863 0.390 0.158
0.016 0.574 0.649
0.016 0.926 0.149
0.984 0.074 0.851
0.984 0.426 0.351
```

Output
Magnetic moment (μB/cell): 0.0
Space-group type: P2_1/c
E (eV per cell): -457.649
Calculated density (g/cm3): 1.6



# 12
This record from OQMD via LeMat-Bulk describes a geometry-optimized Hf3B3C structure. The functional is PBE.

Cell and atoms, written as POSCAR:
```
Hf3B3C
1.0
1.708 -14.926 0.000
1.708 14.926 0.000
0.000 0.000 3.198
Hf B C
6 6 2
Direct
0.046 0.954 0.750
0.137 0.863 0.250
0.287 0.713 0.250
0.713 0.287 0.750
0.863 0.137 0.750
0.954 0.046 0.250
0.392 0.608 0.250
0.423 0.577 0.750
0.485 0.515 0.750
0.515 0.485 0.250
0.577 0.423 0.250
0.608 0.392 0.750
0.211 0.789 0.250
0.789 0.211 0.750
```

Output
Magnetic moment (μB/cell): 0.0
Space-group type: Cmcm
E (eV per cell): -131.017
Calculated density (g/cm3): 11.8